This record from the Alexandria database describes an optimized crystal structure of CaLaMo2. The functional is PBE.

Structure (POSCAR):
```
CaLaMo2
1.0
-1.787 1.861 -2.099
-2.721 -1.756 0.760
-1.859 5.783 6.709
Mo Ca La
2 1 1
direct
0.000 0.000 0.058
0.500 0.500 0.192
0.000 0.000 0.436
0.500 0.500 0.814
```

Polymorph energy (0 for the lowest one): 0.00 eV/f.u.
SG: P4mm
Formation energy: 1.25 eV per formula unit
Total magnetic moment: 0.00 μB/f.u.
Crystal system: tetragonal